i | HfNpTc2: optimized geometry, PBE.

```
4
Lattice="4.697 0.000 0.000 0.000 4.697 0.000 0.000 0.000 3.271" Properties=species:S:1:pos:R:3 pbc="T T T"
Hf 0.000 0.000 0.000
Np 2.348 2.348 0.000
Tc 0.000 2.348 1.636
Tc 2.348 0.000 1.636
```

Magnetic moment, Bohr magnetons per cell: 2.2
V, A^3/atom: 18.0

---

ii | HfNpTc2: optimized geometry, PBE.

```
4
Lattice="0.000 3.309 3.309 3.309 0.000 3.309 3.309 3.309 0.000" Properties=species:S:1:pos:R:3 pbc="T T T"
Hf 0.000 0.000 0.000
Np 3.309 3.309 3.309
Tc 1.655 1.655 1.655
Tc 4.964 4.964 4.964
```

Magnetic moment, Bohr magnetons per cell: 2.9
V, A^3/atom: 18.1

---

Tell me which of them is the most stable. Sure, it is i.

---

i | Hf2NpTc: optimized geometry, PBE.

```
4
Lattice="3.227 0.000 0.000 0.000 3.227 0.000 0.000 0.000 7.792" Properties=species:S:1:pos:R:3 pbc="T T T"
Hf 0.000 0.000 1.601
Hf 0.000 0.000 6.192
Np 1.614 1.614 3.896
Tc 1.614 1.614 0.000
```

Magnetic moment, Bohr magnetons per cell: 3.9
V, A^3/atom: 20.3

---

ii | Hf2NpTc: optimized geometry, PBE.

```
4
Lattice="4.864 0.000 0.000 0.000 4.864 0.000 0.000 0.000 3.303" Properties=species:S:1:pos:R:3 pbc="T T T"
Hf 0.000 2.432 0.000
Hf 2.432 0.000 0.000
Np 0.000 0.000 1.651
Tc 2.432 2.432 1.651
```

Magnetic moment, Bohr magnetons per cell: 3.5
V, A^3/atom: 19.5

---

Tell me which of them is the most stable. Sure, it is i.

---

i | HfNpTi2: optimized geometry, PBE.

```
4
Lattice="0.000 3.397 3.397 3.397 0.000 3.397 3.397 3.397 0.000" Properties=species:S:1:pos:R:3 pbc="T T T"
Hf 0.000 0.000 0.000
Np 3.397 3.397 3.397
Ti 1.699 1.699 1.699
Ti 5.096 5.096 5.096
```

Magnetic moment, Bohr magnetons per cell: 4.1
V, A^3/atom: 19.6

---

ii | HfNpTi2: optimized geometry, PBE.

```
4
Lattice="5.028 0.000 0.000 0.000 5.028 0.000 0.000 0.000 3.110" Properties=species:S:1:pos:R:3 pbc="T T T"
Hf 0.000 0.000 0.000
Np 2.514 2.514 0.000
Ti 0.000 2.514 1.555
Ti 2.514 0.000 1.555
```

Magnetic moment, Bohr magnetons per cell: 4.6
V, A^3/atom: 19.7

---

iii | HfNpTi2: optimized geometry, PBE.

```
4
Lattice="3.318 0.000 0.000 0.000 3.318 0.000 0.000 0.000 6.977" Properties=species:S:1:pos:R:3 pbc="T T T"
Hf 0.000 0.000 0.000
Np 0.000 0.000 3.488
Ti 1.659 1.659 1.915
Ti 1.659 1.659 5.062
```

Magnetic moment, Bohr magnetons per cell: 3.3
V, A^3/atom: 19.2

---

Tell me which of them is the most stable. Sure, it is iii.

---

i | TmHf2Np: optimized geometry, PBE.

```
4
Lattice="1.595 0.921 11.245 -1.595 0.921 11.245 0.000 -1.842 11.245" Properties=species:S:1:pos:R:3 pbc="T T T"
Tm 0.000 0.000 0.000
Hf 0.000 0.000 3.102
Hf 0.000 0.000 30.633
Np 0.000 0.000 16.868
```

Magnetic moment, Bohr magnetons per cell: 3.3
V, A^3/atom: 24.8

---

ii | TmHf2Np: optimized geometry, PBE.

```
4
Lattice="3.721 0.000 0.000 0.000 3.721 0.000 0.000 0.000 7.036" Properties=species:S:1:pos:R:3 pbc="T T T"
Tm 0.000 0.000 0.000
Hf 1.860 1.860 2.018
Hf 1.860 1.860 5.018
Np 0.000 0.000 3.518
```

Magnetic moment, Bohr magnetons per cell: 3.8
V, A^3/atom: 24.4

---

Tell me which of them is the most stable. Sure, it is ii.

---

i | Hf2NpZn: optimized geometry, PBE.

```
4
Lattice="1.586 0.915 9.653 -1.586 0.915 9.653 0.000 -1.831 9.653" Properties=species:S:1:pos:R:3 pbc="T T T"
Hf 0.000 0.000 7.095
Hf 0.000 0.000 21.863
Np 0.000 0.000 0.000
Zn 0.000 0.000 14.479
```

Magnetic moment, Bohr magnetons per cell: 3.4
V, A^3/atom: 21.0

---

ii | Hf2NpZn: optimized geometry, PBE.

```
4
Lattice="3.162 0.000 0.000 0.000 3.162 0.000 0.000 0.000 8.251" Properties=species:S:1:pos:R:3 pbc="T T T"
Hf 0.000 0.000 1.841
Hf 0.000 0.000 6.410
Np 1.581 1.581 4.125
Zn 1.581 1.581 0.000
```

Magnetic moment, Bohr magnetons per cell: 3.8
V, A^3/atom: 20.6

---

iii | Hf2NpZn: optimized geometry, PBE.

```
4
Lattice="0.000 3.449 3.449 3.449 0.000 3.449 3.449 3.449 0.000" Properties=species:S:1:pos:R:3 pbc="T T T"
Hf 1.725 1.725 1.725
Hf 5.174 5.174 5.174
Np 0.000 0.000 0.000
Zn 3.449 3.449 3.449
```

Magnetic moment, Bohr magnetons per cell: 4.8
V, A^3/atom: 20.5

---

Tell me which of them is the most stable. Sure, it is ii.

---

i | Hf4O: optimized geometry, PBE.

```
10
Lattice="0.000 5.597 3.232 5.090 0.000 3.232 5.090 5.597 0.000" Properties=species:S:1:pos:R:3 pbc="T T T"
Hf 6.377 4.648 1.646
Hf 6.340 1.869 3.232
Hf 3.832 3.748 3.262
Hf 3.804 6.546 1.646
Hf 6.386 4.668 4.848
Hf 6.349 7.447 3.262
Hf 3.841 9.325 3.232
Hf 3.795 6.527 4.848
O 5.090 5.597 3.215
O 7.636 8.396 4.831
```

Magnetic moment, Bohr magnetons per cell: 0.0
V, A^3/atom: 18.4

---

ii | Hf4O: optimized geometry, PBE.

```
5
Lattice="4.503 0.000 0.000 0.000 4.503 0.000 0.000 0.000 4.503" Properties=species:S:1:pos:R:3 pbc="T T T"
Hf 0.000 0.000 0.000
Hf 0.000 2.251 2.251
Hf 2.251 0.000 2.251
Hf 2.251 2.251 0.000
O 2.251 2.251 2.251
```

Magnetic moment, Bohr magnetons per cell: 0.0
V, A^3/atom: 18.3

---

Tell me which of them is the most stable. Sure, it is i.

---

i | Hf2OsO2: optimized geometry, PBE.

```
5
Lattice="-1.720 1.720 5.838 1.720 -1.720 5.838 1.720 1.720 -5.838" Properties=species:S:1:pos:R:3 pbc="T T T"
Hf 0.000 0.000 1.662
Hf 0.000 0.000 10.013
Os 0.000 0.000 5.838
O 1.720 0.000 2.919
O 0.000 1.720 2.919
```

Magnetic moment, Bohr magnetons per cell: 0.0
V, A^3/atom: 13.8

---

ii | Hf2OsO2: optimized geometry, PBE.

```
10
Lattice="6.977 0.000 0.000 0.000 6.977 0.000 0.000 0.000 2.736" Properties=species:S:1:pos:R:3 pbc="T T T"
Hf 1.095 2.393 0.000
Hf 2.393 5.882 0.000
Hf 4.584 1.095 0.000
Hf 5.882 4.584 0.000
Os 0.000 0.000 0.000
Os 3.489 3.489 0.000
O 0.820 4.308 1.368
O 2.669 0.820 1.368
O 4.308 6.158 1.368
O 6.158 2.669 1.368
```

Magnetic moment, Bohr magnetons per cell: 0.0
V, A^3/atom: 13.3

---

Tell me which of them is the most stable. Sure, it is i.

---

i | HfOs3O: optimized geometry, PBE.

```
5
Lattice="4.143 0.000 0.000 0.000 4.143 0.000 0.000 0.000 4.143" Properties=species:S:1:pos:R:3 pbc="T T T"
Hf 0.000 0.000 0.000
Os 0.000 2.071 2.071
Os 2.071 0.000 2.071
Os 2.071 2.071 0.000
O 2.071 2.071 2.071
```

Magnetic moment, Bohr magnetons per cell: 0.0
V, A^3/atom: 14.2

---

ii | HfOs3O: optimized geometry, PBE.

```
5
Lattice="4.868 0.000 0.000 0.000 4.868 0.000 0.000 0.000 4.868" Properties=species:S:1:pos:R:3 pbc="T T T"
Hf 0.000 0.000 0.000
Os 0.000 0.000 2.434
Os 0.000 2.434 0.000
Os 2.434 0.000 0.000
O 2.434 2.434 2.434
```

Magnetic moment, Bohr magnetons per cell: 6.5
V, A^3/atom: 23.1

---

Tell me which of them is the most stable. Sure, it is i.